12
Lattice="3.0718 -5.3178 0.0000 3.0718 5.3178 0.0000 -2.0430 0.0000 11.5777" Properties=species:S:1:pos:R:3 comment="LaDy3Y2Er6 (PBE, relaxed)" ef_ev_per_atom=0.02 sg="No. 12" pbc="T T T"
La 0.0000 0.0000 0.0000
Dy 2.0503 3.5415 5.7888
Dy 2.0503 0.0000 5.7888
Dy 2.0503 -3.5415 5.7888
Y 3.0718 1.7733 0.0000
Y 3.0718 -1.7733 0.0000
Er 1.0314 1.7757 2.9319
Er 0.0047 0.0000 8.6461
Er 1.0314 -1.7757 2.9319
Er 3.0692 1.7757 8.6458
Er 4.0960 0.0000 2.9316
Er 3.0692 -1.7757 8.6458



16
Lattice="4.0494 2.3379 6.7009 -4.0494 2.3379 6.7009 0.0000 -4.6758 6.7009" Properties=species:S:1:pos:R:3 comment="Dy8Si3HSe4 (PBE, relaxed)" final_energy_ev_per_atom=-5.623 sg="No. 166" pbc="T T T"
Dy -2.0601 -1.1894 11.6478
Dy 0.0000 0.0000 4.9411
Dy 0.0000 -2.3788 8.4549
Dy -2.0601 1.1894 8.4549
Dy 2.0601 -1.1894 11.6478
Dy 0.0000 2.3788 11.6478
Dy 0.0000 0.0000 15.1616
Dy 2.0601 1.1894 8.4549
Si -4.0494 0.0000 10.0513
Si -2.0247 1.1690 3.3504
Si 2.0247 1.1690 3.3504
H 0.0000 0.0000 10.0513
Se 0.0000 0.0000 0.0000
Se -2.0247 -1.1690 6.7009
Se -2.0247 1.1690 13.4018
Se 0.0000 2.3379 6.7009



5
Lattice="4.4237 0.0000 0.0000 0.0000 4.4237 0.0000 0.0000 0.0000 4.4148" Properties=species:S:1:pos:R:3 comment="CuMoPtRh2 (PBE, relaxed)" ef_ev_per_atom=1.28 sg="No. 123" pbc="T T T"
Cu 0.0000 0.0000 0.0000
Mo 0.0000 0.0000 2.2074
Pt 2.2119 2.2119 2.2074
Rh 0.0000 2.2119 0.0000
Rh 2.2119 0.0000 0.0000



18
Lattice="5.4634 -4.1420 0.0000 5.4634 4.1420 0.0000 -0.1930 0.0000 5.4762" Properties=species:S:1:pos:R:3 comment="Ca3V2N4 (PBE, relaxed)" sg="No. 15" formation_energy_uncorrected_ev_per_atom=-0.9159 pbc="T T T"
Ca 5.3186 3.2937 4.1072
Ca 4.1171 1.0840 2.5394
Ca 6.7131 1.0840 0.1987
Ca 4.0206 -1.0840 5.2775
Ca 6.6166 -1.0840 2.9368
Ca 5.4151 -3.2937 1.3691
V 2.0416 1.0135 5.0038
V 2.1381 -1.0135 2.2657
V 8.5956 1.0135 3.2105
V 8.6921 -1.0135 0.4724
N 1.6649 0.5954 3.2049
N 3.9355 1.4465 5.3266
N 1.7614 -0.5954 0.4668
N 6.7017 1.4465 2.8878
N 4.0320 -1.4465 2.5885
N 8.9723 0.5954 5.0095
N 6.7982 -1.4465 0.1496
N 9.0688 -0.5954 2.2713



10
Lattice="8.5161 0.0000 0.0000 0.0000 3.2769 2.2077 0.0000 -3.2769 2.2077" Properties=species:S:1:pos:R:3 comment="TbBO3 (PBE, relaxed)" sg="No. 40" formation_energy_uncorrected_ev_per_atom=-3.0510 pbc="T T T"
Tb 0.0000 0.0000 0.0000
Tb 4.2581 0.0000 0.0000
B 2.1290 0.9061 2.4494
B 6.3871 -0.9061 2.4494
O 0.8852 1.1276 1.8628
O 2.1290 0.4829 3.7594
O 3.3728 1.1276 1.8628
O 5.1433 -1.1276 1.8628
O 6.3871 -0.4829 3.7594
O 7.6309 -1.1276 1.8628



10
Lattice="7.1524 0.0000 0.0000 0.0000 7.1524 0.0000 0.0000 0.0000 4.5857" Properties=species:S:1:pos:R:3 comment="Cd2In2Pd (PBE, relaxed)" ef_ev_per_atom=-0.01 sg="No. 127" de_polymorph_mev_per_atom=160 pbc="T T T"
Cd 1.1397 2.4365 0.0000
Cd 2.4365 6.0127 0.0000
Cd 4.7159 1.1397 0.0000
Cd 6.0127 4.7159 0.0000
In 1.0914 4.6676 2.2929
In 2.4848 1.0914 2.2929
In 4.6676 6.0610 2.2929
In 6.0610 2.4848 2.2929
Pd 0.0000 0.0000 2.2929
Pd 3.5762 3.5762 2.2929



5
Lattice="4.0789 0.0000 0.0000 0.0000 4.0789 0.0000 0.0000 0.0000 3.8741" Properties=species:S:1:pos:R:3 comment="CrSnHRh2 (PBE, relaxed)" final_energy_ev_per_atom=-6.579 sg="No. 123" pbc="T T T"
Cr 0.0000 0.0000 0.0000
Sn 2.0394 2.0394 0.0000
H 0.0000 0.0000 1.9370
Rh 0.0000 2.0394 1.9370
Rh 2.0394 0.0000 1.9370



6
Lattice="0.0000 4.4372 4.4372 4.4372 0.0000 4.4372 4.4372 4.4372 0.0000" Properties=species:S:1:pos:R:3 comment="Ce4PrSc (PBE, relaxed)" ef_ev_per_atom=0.24 sg="No. 216" pbc="T T T"
Ce 1.0563 1.0563 1.0563
Ce 3.3809 3.3809 1.0563
Ce 3.3809 1.0563 3.3809
Ce 1.0563 3.3809 3.3809
Pr 4.4372 4.4372 4.4372
Sc 6.6558 6.6558 6.6558



8
Lattice="3.8518 0.0000 0.0000 0.0000 4.2373 0.0000 0.0000 0.0000 10.6847" Properties=species:S:1:pos:R:3 comment="Dy4Si3Rh (PBE, relaxed)" sg="No. 25" formation_energy_uncorrected_ev_per_atom=-0.8241 pbc="T T T"
Dy 0.0000 0.0000 0.0000
Dy 0.0000 2.1187 5.2840
Dy 1.9259 0.0000 2.9848
Dy 1.9259 2.1187 8.3399
Si 0.0000 0.0000 7.5517
Si 0.0000 2.1187 2.2651
Si 1.9259 0.0000 6.0055
Rh 1.9259 2.1187 0.6626



5
Lattice="4.3480 0.0000 0.0000 0.0000 4.3480 0.0000 0.0000 0.0000 4.2348" Properties=species:S:1:pos:R:3 comment="Mg2ZnSeN (PBE, relaxed)" sg="No. 123" formation_energy_uncorrected_ev_per_atom=-0.4550 pbc="T T T"
Mg 0.0000 2.1740 0.0000
Mg 2.1740 0.0000 0.0000
Zn 0.0000 0.0000 2.1174
Se 2.1740 2.1740 2.1174
N 0.0000 0.0000 0.0000



4
Lattice="1.9938 1.1511 10.8249 -1.9938 1.1511 10.8249 0.0000 -2.3023 10.8249" Properties=species:S:1:pos:R:3 comment="AcGd2Ge (PBE, relaxed)" ef_ev_per_atom=-0.14 sg="No. 166" de_polymorph_mev_per_atom=197 pbc="T T T"
Ac 0.0000 0.0000 0.0000
Gd 0.0000 0.0000 3.7302
Gd 0.0000 0.0000 28.7444
Ge 0.0000 0.0000 16.2373



10
Lattice="0.0000 5.6449 5.6449 5.6449 0.0000 5.6449 5.6449 5.6449 0.0000" Properties=species:S:1:pos:R:3 comment="Ba2NaHg6Sb (PBE, relaxed)" sg="No. 225" formation_energy_uncorrected_ev_per_atom=-0.1578 pbc="T T T"
Ba 2.8224 2.8224 2.8224
Ba 8.4673 8.4673 8.4673
Na 0.0000 0.0000 0.0000
Hg 5.6449 5.6449 2.7581
Hg 5.6449 2.7581 5.6449
Hg 8.5317 5.6449 5.6449
Hg 2.7581 5.6449 5.6449
Hg 5.6449 8.5317 5.6449
Hg 5.6449 5.6449 8.5317
Sb 5.6449 5.6449 5.6449